(1)
The following is a DFT calculation (PBE) of an optimized crystal structure of CdPRh2O.

Output
The calculation puts the volume at 18.97 Å³ per atom. The calculation puts the total energy at -4.648 eV/atom. The density of states at the Fermi level comes out at 5.28 states/eV/cell. The value obtained for the formation energy (no corrections) is 0.55 eV/atom.

abc: 4.3089 4.3089 5.1076
angles: 90.00 90.00 90.00
Space group P4/mmm (No. 123)
Asymmetric unit:
Cd 0.0000 0.0000 0.0000 x1
P 0.0000 0.0000 0.5000 x1
Rh 0.0000 0.5000 0.5000 x2
O 0.5000 0.5000 0.0000 x1

(2)
The following is a DFT calculation (PBE) of an optimized crystal structure of ZrSbP2S.

Output
The distance to the lowest polymorph of the same formula is 495 meV per atom. The calculation puts the volume at 23.54 Å³ per atom. The calculation puts the total energy at -4.831 eV/atom. The density of states at the Fermi level comes out at 1.92 states/eV/cell. The value obtained for the formation energy (no corrections) is 0.69 eV/atom.

abc: 4.9340 4.9340 4.8343
angles: 90.00 90.00 90.00
Space group P4/mmm (No. 123)
Asymmetric unit:
Zr 0.0000 0.0000 0.0000 x1
Sb 0.5000 0.5000 0.5000 x1
P 0.0000 0.5000 0.5000 x2
S 0.5000 0.5000 0.0000 x1

(3)
The following is a DFT calculation (PBE) of an optimized crystal structure of TlInPb14.

Output
The calculation puts the volume at 31.30 Å³ per atom. The formation energy comes out at 0.005 eV/atom. The calculation puts the total energy at -3.559 eV/atom. The density of states at the Fermi level comes out at 8.28 states/eV/cell.

abc: 7.1135 7.1135 9.8959
angles: 90.00 90.00 90.00
Space group P4/mmm (No. 123)
Asymmetric unit:
Tl 0.0000 0.0000 0.0000 x1
In 0.5000 0.5000 0.0000 x1
Pb 0.0000 0.0000 0.5000 x1
Pb 0.0000 0.5000 0.0000 x2
Pb 0.0000 0.5000 0.5000 x2
Pb 0.2521 0.2521 0.2492 x8
Pb 0.5000 0.5000 0.5000 x1

(4)
The following is a DFT calculation (PBE) of an optimized crystal structure of Cs3K2Rb2Au4.

Output
The calculation puts the volume at 46.89 Å³ per atom. The formation energy comes out at -0.199 eV/atom. The calculation puts the total energy at -1.999 eV/atom. The density of states at the Fermi level comes out at 9.58 states/eV/cell.

abc: 5.8208 5.8208 17.5771
angles: 90.00 90.00 120.00
Space group P-3m1 (No. 164)
Asymmetric unit:
Cs 0.0000 0.0000 0.0000 x1
Cs 0.0000 0.0000 0.2724 x2
K 0.3333 0.6667 0.1459 x2
Rb 0.3333 0.6667 0.5713 x2
Au 0.3333 0.6667 0.3518 x2
Au 0.3333 0.6667 0.8793 x2